DFT (PBE) results for a relaxed structure of RbMg14Cu.

The space group is P-6m2 (No. 187) and the conventional cell measures 6.4611, 6.4611 and 10.6592 Å, with angles of 90.00, 90.00 and 120.00 degrees. The asymmetric unit holds Rb at (0.0000, 0.0000, 0.0000), Mg at (0.0105, 0.5052, 0.0000), Mg at (0.1653, 0.3306, 0.2759), Mg at (0.5054, 0.0108, 0.5000), Mg at (0.6667, 0.3333, 0.2399) and Cu at (0.0000, 0.0000, 0.5000).

For the energy above the most stable polymorph in this dataset, the calculation gives 8.6 meV per atom. For the density of states at the Fermi level, the calculation gives 5.7 states/eV/cell. The energy of formation from the pure elements is 0.152 eV/atom. The total magnetization is 0.0 μB per cell. The value obtained for the electronic total energy is -0.057 hartree per atom.

---

DFT (PBE) results for a relaxed structure of Pr3InSn2.

The space group is Pnma (No. 62) and the conventional cell measures 12.9029, 4.7012 and 12.3212 Å, with angles of 90.00, 90.00 and 90.00 degrees. The asymmetric unit holds Pr at (0.0448, 0.2500, 0.1212), Pr at (0.1310, 0.7500, 0.5685), Pr at (0.2065, 0.2500, 0.8062), In at (0.1373, 0.2500, 0.3666), Sn at (0.0094, 0.7500, 0.3162) and Sn at (0.1849, 0.7500, 0.0177).

For the energy above the most stable polymorph in this dataset, the calculation gives 0.0 meV per atom. For the density of states at the Fermi level, the calculation gives 16.7 states/eV/cell. The energy of formation from the pure elements is -0.623 eV/atom. The total magnetization is 0.0 μB per cell. The value obtained for the electronic total energy is -0.177 hartree per atom.

---

DFT (PBE) results for a relaxed structure of NbGeTe.

The space group is I4/mmm (No. 139) and the conventional cell measures 4.7900, 4.7900 and 11.7182 Å, with angles of 90.00, 90.00 and 90.00 degrees. The asymmetric unit holds Nb at (0.0000, 0.5000, 0.0000), Ge at (0.0000, 0.0000, 0.1156) and Te at (0.0000, 0.0000, 0.3571).

For the density of states at the Fermi level, the calculation gives 9.0 states/eV/cell. The raw formation energy comes out at -0.3 eV/f.u. The total magnetization is 0.0 μB per cell. The value obtained for the electronic total energy is -0.222 hartree per atom.

---

DFT (PBE) results for a relaxed structure of YIr3.

The space group is Imm2 (No. 44) and the conventional cell measures 2.9151, 9.1804 and 4.9806 Å, with angles of 90.00, 90.00 and 90.00 degrees. The asymmetric unit holds Y at (0.0000, 0.0000, 0.0000), Ir at (0.0000, 0.2422, 0.6671) and Ir at (0.0000, 0.5000, 0.9901).

For the density of states at the Fermi level, the calculation gives 4.9 states/eV/cell. The energy of formation from the pure elements is -0.254 eV/atom. The total magnetization is 0.0 μB per cell. The value obtained for the electronic total energy is -0.313 hartree per atom.

---

DFT (PBE) results for a relaxed structure of SrSbAu3.

The space group is Pm-3m (No. 221) and the conventional cell measures 5.2796, 5.2796 and 5.2796 Å, with angles of 90.00, 90.00 and 90.00 degrees. The asymmetric unit holds Sr at (0.0000, 0.0000, 0.0000), Sb at (0.5000, 0.5000, 0.5000) and Au at (0.0000, 0.5000, 0.5000).

For the energy above the most stable polymorph in this dataset, the calculation gives 284.7 meV per atom. For the density of states at the Fermi level, the calculation gives 2.4 states/eV/cell. The raw formation energy comes out at -1.1 eV/f.u. The total magnetization is 0.0 μB per cell. The value obtained for the electronic total energy is -0.123 hartree per atom.

---

DFT (PBE) results for a relaxed structure of La2TaCrOs.

The space group is P4/mmm (No. 123) and the conventional cell measures 5.0719, 5.0719 and 4.6333 Å, with angles of 90.00, 90.00 and 90.00 degrees. The asymmetric unit holds La at (0.0000, 0.5000, 0.0000), Ta at (0.0000, 0.0000, 0.5000), Cr at (0.0000, 0.0000, 0.0000) and Os at (0.5000, 0.5000, 0.5000).

For the density of states at the Fermi level, the calculation gives 6.5 states/eV/cell. The energy of formation from the pure elements is 1.118 eV/atom. The total magnetization is 0.0 μB per cell. The value obtained for the electronic total energy is -0.272 hartree per atom.

---

Question: What is the electronic total energy in the fourth record?
Answer: -0.313 hartree per atom

---

Question: Which formula does entry 4 have?
Answer: YIr3

---

Question: The highest electronic total energy belongs to which entry?
Answer: RbMg14Cu